TiNbCuNi | PBE | relaxed

As for the energy of formation from the pure elements: -0.177 eV/f.u. For the mass density, the calculation gives 7.487 g/cm³.

The space group is F-43m (No. 216) and the conventional cell measures 6.156, 6.156 and 6.156 Å, with angles of 90.00, 90.00 and 90.00 degrees. Symmetry generates all atoms from Ti at (0.000, 0.000, 0.000), Nb at (0.000, 0.000, 0.500), Cu at (0.250, 0.250, 0.750) and Ni at (0.250, 0.250, 0.250).

=====

TiNbCu2Ni | PBE | relaxed

As for the energy of formation from the pure elements: 7.024 eV/f.u. For the mass density, the calculation gives 5.894 g/cm³.

The space group is P4/mmm (No. 123) and the conventional cell measures 4.539, 4.539 and 4.466 Å, with angles of 90.00, 90.00 and 90.00 degrees. Symmetry generates all atoms from Ti at (0.000, 0.000, 0.000), Nb at (0.000, 0.000, 0.500), Cu at (0.000, 0.500, 0.000) and Ni at (0.500, 0.500, 0.500).

=====

NbTl2CuNi | PBE | relaxed

As for the energy of formation from the pure elements: 5.122 eV/f.u. For the mass density, the calculation gives 10.012 g/cm³.

The space group is P4/mmm (No. 123) and the conventional cell measures 4.846, 4.846 and 4.406 Å, with angles of 90.00, 90.00 and 90.00 degrees. Symmetry generates all atoms from Nb at (0.000, 0.000, 0.000), Tl at (0.000, 0.500, 0.500), Cu at (0.500, 0.500, 0.500) and Ni at (0.500, 0.500, 0.000).

=====

NbZnCuNi | PBE | relaxed

As for the energy of formation from the pure elements: -0.478 eV/f.u. For the mass density, the calculation gives 8.509 g/cm³. The energy above the lowest structure with this stoichiometry comes out at 4 meV per atom.

The space group is F-43m (No. 216) and the conventional cell measures 6.028, 6.028 and 6.028 Å, with angles of 90.00, 90.00 and 90.00 degrees. Symmetry generates all atoms from Nb at (0.000, 0.000, 0.000), Zn at (0.000, 0.000, 0.500), Cu at (0.250, 0.250, 0.250) and Ni at (0.250, 0.250, 0.750).

=====

NbZnCuNi | PBE | relaxed

As for the energy of formation from the pure elements: -0.494 eV/f.u. For the mass density, the calculation gives 8.491 g/cm³. The energy above the lowest structure with this stoichiometry comes out at 0 meV per atom.

The space group is P4mm (No. 99) and the conventional cell measures 2.755, 2.755 and 7.227 Å, with angles of 90.00, 90.00 and 90.00 degrees. Symmetry generates all atoms from Nb at (0.000, 0.000, 0.000), Zn at (0.000, 0.000, 0.483), Cu at (0.500, 0.500, 0.721) and Ni at (0.500, 0.500, 0.259).

=====

ZrNbCuNi | PBE | relaxed

As for the energy of formation from the pure elements: -0.188 eV/f.u. For the mass density, the calculation gives 7.931 g/cm³.

The space group is F-43m (No. 216) and the conventional cell measures 6.354, 6.354 and 6.354 Å, with angles of 90.00, 90.00 and 90.00 degrees. Symmetry generates all atoms from Zr at (0.000, 0.000, 0.000), Nb at (0.000, 0.000, 0.500), Cu at (0.250, 0.250, 0.750) and Ni at (0.250, 0.250, 0.250).

=====

NpNbCu | PBE | relaxed

As for the energy of formation from the pure elements: 0.780 eV/f.u. For the mass density, the calculation gives 12.638 g/cm³.

The space group is I4mm (No. 107) and the conventional cell measures 2.712, 2.712 and 14.061 Å, with angles of 90.00, 90.00 and 90.00 degrees. Symmetry generates all atoms from Np at (0.000, 0.000, 0.000), Nb at (0.000, 0.000, 0.312) and Cu at (0.000, 0.000, 0.667).

=====

NpNbCuO6 | PBE | relaxed

For the mass density, the calculation gives 6.938 g/cm³. The value obtained for the uncorrected energy is -152.4 eV per cell.

The space group is P-31c (No. 163) and the conventional cell measures 5.4647, 5.4647 and 9.0585 Å, with angles of 90.00, 90.00 and 120.00 degrees. Symmetry generates all atoms from Np at (0.3333, 0.6667, 0.2500), Nb at (0.3333, 0.6667, 0.7500), Cu at (0.0000, 0.0000, 0.0000) and O at (0.0083, 0.3578, 0.6333).

=====

Nb2CuO6 | PBE | relaxed

For the mass density, the calculation gives 5.298 g/cm³. The energy above the lowest structure with this stoichiometry comes out at 0 meV per atom.

The space group is P2_1/c (No. 14) and the conventional cell measures 5.069, 14.460 and 5.915 Å, with angles of 90.00, 92.88 and 90.00 degrees. Symmetry generates all atoms from Nb at (0.222, 0.163, 0.358), Nb at (0.268, 0.659, 0.785), Cu at (0.247, 0.004, 0.850), O at (0.051, 0.079, 0.170), O at (0.060, 0.098, 0.654), O at (0.105, 0.745, 0.077), O at (0.395, 0.247, 0.665), O at (0.428, 0.577, 0.586) and O at (0.456, 0.600, 0.056).

=====

Nb2CuO6 | PBE | relaxed

For the mass density, the calculation gives 5.819 g/cm³. The energy above the lowest structure with this stoichiometry comes out at 242 meV per atom.

The space group is C2/m (No. 12) and the conventional cell measures 8.587, 2.936 and 8.221 Å, with angles of 90.00, 108.04 and 90.00 degrees. Symmetry generates all atoms from Nb at (0.207, 0.000, 0.304), Cu at (0.000, 0.500, 0.000), O at (0.017, 0.500, 0.254), O at (0.156, 0.000, 0.544) and O at (0.229, 0.500, 0.133).

=====

Nb3CuO8 | PBE | relaxed

For the mass density, the calculation gives 5.383 g/cm³. The value obtained for the uncorrected energy is -403.4 eV per cell.

The space group is P2_1/c (No. 14) and the conventional cell measures 7.658, 5.100 and 15.549 Å, with angles of 90.00, 107.14 and 90.00 degrees. Symmetry generates all atoms from Nb at (0.009, 0.235, 0.167), Nb at (0.253, 0.746, 0.076), Nb at (0.483, 0.740, 0.335), Cu at (0.262, 0.243, 0.420), O at (0.043, 0.575, 0.600), O at (0.084, 0.069, 0.281), O at (0.153, 0.599, 0.961), O at (0.220, 0.081, 0.655), O at (0.266, 0.596, 0.346), O at (0.352, 0.073, 0.047), O at (0.416, 0.585, 0.716) and O at (0.496, 0.067, 0.401).

=====

Nb2Cu3O8 | PBE | relaxed

For the mass density, the calculation gives 5.315 g/cm³. The value obtained for the uncorrected energy is -92.5 eV per cell.

The space group is P-1 (No. 2) and the conventional cell measures 5.270, 5.518 and 6.163 Å, with angles of 73.37, 81.83 and 66.66 degrees. Symmetry generates all atoms from Nb at (0.219, 0.042, 0.153), Cu at (0.000, 0.500, 0.500), Cu at (0.461, 0.570, 0.742), O at (0.169, 0.814, 0.898), O at (0.240, 0.699, 0.397), O at (0.262, 0.246, 0.334) and O at (0.367, 0.237, 0.872).

=====

NbCuO3 | PBE | relaxed

For the mass density, the calculation gives 4.645 g/cm³. The value obtained for the uncorrected energy is -307.8 eV per cell.

The space group is C2/m (No. 12) and the conventional cell measures 9.737, 8.740 and 6.872 Å, with angles of 90.00, 90.76 and 90.00 degrees. Symmetry generates all atoms from Nb at (0.000, 0.201, 0.000), Nb at (0.249, 0.000, 0.779), Cu at (0.000, 0.152, 0.500), Cu at (0.214, 0.000, 0.297), O at (0.092, 0.162, 0.741), O at (0.129, 0.000, 0.057), O at (0.132, 0.338, 0.107) and O at (0.195, 0.500, 0.473).

=====

Nb2CuO6 | PBE | relaxed

For the mass density, the calculation gives 5.355 g/cm³. The energy above the lowest structure with this stoichiometry comes out at 5 meV per atom.

The space group is Pbcn (No. 60) and the conventional cell measures 14.374, 5.676 and 5.250 Å, with angles of 90.00, 90.00 and 90.00 degrees. Symmetry generates all atoms from Nb at (0.160, 0.184, 0.199), Cu at (0.000, 0.328, 0.750), O at (0.086, 0.415, 0.323), O at (0.092, 0.100, 0.883) and O at (0.240, 0.134, 0.526).

=====

NbCu3O | PBE | relaxed

For the mass density, the calculation gives 7.531 g/cm³. The energy above the lowest structure with this stoichiometry comes out at 0 meV per atom.

The space group is Pm-3m (No. 221) and the conventional cell measures 4.042, 4.042 and 4.042 Å, with angles of 90.00, 90.00 and 90.00 degrees. Symmetry generates all atoms from Nb at (0.000, 0.000, 0.000), Cu at (0.000, 0.500, 0.500) and O at (0.500, 0.500, 0.500).

=====

Nb2CuO6 | PBE | relaxed

For the mass density, the calculation gives 5.529 g/cm³. The energy above the lowest structure with this stoichiometry comes out at 32 meV per atom.

The space group is P321 (No. 150) and the conventional cell measures 8.7881, 8.7881 and 4.6526 Å, with angles of 90.00, 90.00 and 120.00 degrees. Symmetry generates all atoms from Nb at (0.0000, 0.3685, 0.0000), Nb at (0.0000, 0.7029, 0.5000), Cu at (0.0000, 0.0000, 0.0000), Cu at (0.3333, 0.6667, 0.5084), O at (0.1025, 0.5592, 0.2619), O at (0.1098, 0.2277, 0.2351) and O at (0.2107, 0.4315, 0.7426).

=====

NbCu3O | PBE | relaxed

For the mass density, the calculation gives 4.545 g/cm³. The energy above the lowest structure with this stoichiometry comes out at 1611 meV per atom.

The space group is Pm-3m (No. 221) and the conventional cell measures 4.783, 4.783 and 4.783 Å, with angles of 90.00, 90.00 and 90.00 degrees. Symmetry generates all atoms from Nb at (0.000, 0.000, 0.000), Cu at (0.000, 0.000, 0.500) and O at (0.500, 0.500, 0.500).

=====

NbCu6O8 | PBE | relaxed

For the mass density, the calculation gives 5.055 g/cm³. The value obtained for the uncorrected energy is -353.7 eV per cell.

The space group is Fm-3m (No. 225) and the conventional cell measures 9.249, 9.249 and 9.249 Å, with angles of 90.00, 90.00 and 90.00 degrees. Symmetry generates all atoms from Nb at (0.000, 0.000, 0.000), Cu at (0.000, 0.250, 0.250) and O at (0.136, 0.136, 0.136).

=====

Nb3CuO | PBE | relaxed

For the mass density, the calculation gives 7.912 g/cm³. The value obtained for the uncorrected energy is -41.9 eV per cell.

The space group is Pm-3m (No. 221) and the conventional cell measures 4.221, 4.221 and 4.221 Å, with angles of 90.00, 90.00 and 90.00 degrees. Symmetry generates all atoms from Nb at (0.000, 0.000, 0.500), Cu at (0.500, 0.500, 0.500) and O at (0.000, 0.000, 0.000).